# FeSb2Os

A geometry-optimized FeSb2Os structure (PBE-GGA, the Alexandria database).

## Properties
Energy above the most stable polymorph in this dataset = 0.000 eV/atom
Crystal system = tetragonal
Spin magnetization = 2.184 μB per formula unit
Formation energy from raw total energies = 0.283 eV/atom

```
FeSb2Os
1.0
3.125 0.000 0.000
0.000 3.125 0.000
0.000 0.000 8.126
Fe Sb Os
1 2 1
Cartesian
0.000 0.000 0.000
0.000 0.000 3.180
1.563 1.563 6.541
1.563 1.563 1.488
```

***

# Tm6GePb2C

A geometry-optimized Tm6GePb2C structure (PBE-GGA, the Alexandria database).

## Properties
Crystal system = tetragonal
Spin magnetization = 0.000 μB per formula unit
Energy of formation = -0.4005 eV per atom

```
Tm6GePb2C
1.0
5.109 0.000 0.000
0.000 5.109 0.000
0.000 0.000 10.073
Tm Ge Pb C
6 1 2 1
Cartesian
0.000 0.000 2.317
0.000 0.000 7.756
0.000 2.555 0.000
0.000 2.555 5.036
2.555 0.000 0.000
2.555 0.000 5.036
0.000 0.000 5.036
2.555 2.555 2.468
2.555 2.555 7.604
0.000 0.000 0.000
```

***

# Er3Th2Sc2

A geometry-optimized Er3Th2Sc2 structure (PBE-GGA, the Alexandria database).

## Properties
Energy above the most stable polymorph in this dataset = 0.185 eV/atom
Crystal system = monoclinic
Spin magnetization = 0.000 μB per formula unit
Energy of formation = 0.2297 eV per atom

```
Er3Th2Sc2
1.0
5.482 0.000 0.000
0.000 3.273 0.000
-2.736 0.000 11.624
Er Th Sc
3 2 2
Cartesian
0.000 0.000 0.000
0.003 0.000 6.773
2.743 0.000 4.851
0.003 0.000 3.223
2.742 0.000 8.401
0.003 1.637 9.916
2.743 1.637 1.708
```

***

# Nb2SiGe

A geometry-optimized Nb2SiGe structure (PBE-GGA, the Alexandria database).

## Properties
Crystal system = monoclinic
Spin magnetization = 0.000 μB per formula unit
Formation energy from raw total energies = -0.402 eV/atom

```
Nb2SiGe
1.0
5.105 0.000 0.000
0.000 3.813 0.000
-2.548 0.000 6.703
Nb Si Ge
4 2 2
Cartesian
-0.012 0.953 2.930
-1.193 0.953 6.185
3.750 2.860 0.518
2.569 2.860 3.773
-0.096 2.860 4.745
2.652 0.953 1.959
1.120 2.860 1.387
1.436 0.953 5.316
```

***

# Np4AsPSe2

A geometry-optimized Np4AsPSe2 structure (PBE-GGA, the Alexandria database).

## Properties
Crystal system = monoclinic
Spin magnetization = 16.649 μB per formula unit
Formation energy from raw total energies = -0.941 eV/atom

```
Np4AsPSe2
1.0
7.063 0.000 0.000
0.000 4.085 0.000
-2.364 0.000 6.662
Np As P Se
4 1 1 2
Cartesian
1.114 0.000 1.602
-0.069 2.042 5.018
4.768 2.042 1.644
3.585 0.000 5.060
-1.182 0.000 3.331
0.000 2.042 0.000
3.532 0.000 0.000
2.350 2.042 3.331
```

***

# DyZn3Pt2

A geometry-optimized DyZn3Pt2 structure (PBE-GGA, the Alexandria database).

## Properties
Crystal system = orthorhombic
Spin magnetization = 0.000 μB per formula unit
Energy of formation = -0.6551 eV per atom

```
DyZn3Pt2
1.0
-1.916 4.332 6.585
1.916 -4.332 6.585
1.916 4.332 -6.585
Dy Zn Pt
2 6 4
Cartesian
0.000 0.000 1.796
0.000 0.000 11.375
1.916 2.529 -2.302
0.000 3.084 0.000
1.916 2.529 2.302
0.000 1.802 4.283
0.000 5.580 0.000
0.000 1.802 8.887
1.916 1.384 0.000
1.916 0.000 4.102
0.000 4.332 2.483
0.000 2.948 6.585
```

***

# NdMgGa

A geometry-optimized NdMgGa structure (PBE-GGA, the Alexandria database).

## Properties
Crystal system = tetragonal
Spin magnetization = 0.000 μB per formula unit
Energy of formation = -0.2869 eV per atom

```
NdMgGa
1.0
-1.726 1.726 6.148
1.726 -1.726 6.148
1.726 1.726 -6.148
Nd Mg Ga
1 1 1
Cartesian
0.000 0.000 0.000
0.000 0.000 8.688
0.000 0.000 4.151
```

***

# Cd2In

A geometry-optimized Cd2In structure (PBE-GGA, the Alexandria database).

## Properties
Crystal system = orthorhombic
Spin magnetization = 0.000 μB per formula unit
Energy of formation = 0.0306 eV per atom

```
Cd2In
1.0
-1.649 2.261 4.813
1.649 -2.261 4.813
1.649 2.261 -4.813
Cd In
2 1
Cartesian
0.000 0.000 1.625
0.000 0.000 8.002
0.000 0.000 4.813
```

***

# DyYEr6

A geometry-optimized DyYEr6 structure (PBE-GGA, the Alexandria database).

## Properties
Energy above the most stable polymorph in this dataset = 0.188 eV/atom
Crystal system = triclinic
Spin magnetization = 0.000 μB per formula unit
Energy of formation = 0.2112 eV per atom

```
DyYEr6
1.0
6.517 0.000 0.000
-0.044 6.688 0.000
-1.588 -3.318 5.788
Dy Y Er
1 1 6
Cartesian
0.000 0.000 0.000
3.259 0.000 0.000
0.692 4.473 2.762
0.019 -0.299 5.788
0.907 1.128 3.009
3.978 2.241 2.778
4.866 3.669 0.000
4.193 -1.104 3.026
```

***

# AlFe2HAu

A geometry-optimized AlFe2HAu structure (PBE-GGA, the Alexandria database).

## Properties
Energy above the most stable polymorph in this dataset = 0.000 eV/atom
Crystal system = tetragonal
Spin magnetization = 4.762 μB per formula unit

```
AlFe2HAu
1.0
3.693 0.000 0.000
0.000 3.693 0.000
0.000 0.000 4.223
Al Fe H Au
1 2 1 1
Cartesian
0.000 0.000 0.000
0.000 1.847 2.111
1.847 0.000 2.111
0.000 0.000 2.111
1.847 1.847 0.000
```

***

# BaSrI

A geometry-optimized BaSrI structure (PBE-GGA, the Alexandria database).

## Properties
Energy above the most stable polymorph in this dataset = 0.058 eV/atom
Crystal system = tetragonal
Spin magnetization = 0.001 μB per formula unit
Formation energy from raw total energies = -0.752 eV/atom

```
BaSrI
1.0
-2.102 2.102 7.965
2.102 -2.102 7.965
2.102 2.102 -7.965
Ba Sr I
1 1 1
Cartesian
0.000 0.000 0.000
0.000 0.000 4.758
0.000 0.000 10.397
```

***

# TmPuInO6

A geometry-optimized TmPuInO6 structure (PBE-GGA, the Alexandria database).

## Properties
Crystal system = trigonal
Spin magnetization = 2.000 μB per formula unit
Formation energy from raw total energies = -2.459 eV/atom

```
TmPuInO6
1.0
5.636 0.000 0.000
-2.818 4.881 0.000
0.000 0.000 9.116
Tm Pu In O
2 2 2 12
Cartesian
0.000 3.254 2.279
2.818 1.627 6.837
0.000 3.254 6.837
2.818 1.627 2.279
0.000 0.000 0.000
0.000 0.000 4.558
-0.867 1.709 5.751
-1.772 3.275 7.923
0.867 1.709 7.923
-0.904 4.778 5.751
1.914 0.103 1.193
1.046 1.606 3.365
1.772 3.275 5.751
0.904 4.778 7.923
3.722 0.103 3.365
1.951 3.172 1.193
4.590 1.606 1.193
3.685 3.172 3.365
```

***

| no. | electronic total energy (eV/cell) |
| --- | --- |
| 1 | -26.806 |
| 2 | -52.092 |
| 3 | -39.584 |
| 4 | -63.575 |
| 5 | -76.317 |
| 6 | -48.872 |
| 7 | -10.250 |
| 8 | -4.477 |
| 9 | -36.754 |
| 10 | -27.577 |
| 11 | -7.412 |
| 12 | -146.851 |